No. 1
The following is a PBEsol calculation of a relaxed NiSn crystal, from the Alexandria database.

```
NiSn
1.0
-2.273 3.038 1.448
-2.150 0.612 -4.658
-17.607 -16.040 6.020
Sn Ni
16 16
Direct
0.500 0.490 0.661 Sn
0.500 0.510 0.339 Sn
0.500 0.010 0.161 Sn
0.000 0.040 0.711 Sn
0.500 0.757 0.461 Sn
0.500 0.743 0.961 Sn
0.500 0.990 0.839 Sn
0.000 0.229 0.410 Sn
0.000 0.771 0.590 Sn
0.000 0.271 0.910 Sn
0.000 0.729 0.090 Sn
0.500 0.257 0.039 Sn
0.000 0.460 0.211 Sn
0.000 0.960 0.289 Sn
0.000 0.540 0.789 Sn
0.500 0.243 0.539 Sn
0.000 0.726 0.394 Ni
0.500 0.727 0.245 Ni
0.500 0.507 0.143 Ni
0.500 0.227 0.255 Ni
0.500 0.007 0.357 Ni
0.000 0.774 0.894 Ni
0.000 0.000 0.000 Ni
0.000 0.226 0.106 Ni
0.000 0.000 0.500 Ni
0.000 0.274 0.606 Ni
0.000 0.500 0.000 Ni
0.000 0.500 0.500 Ni
0.500 0.993 0.643 Ni
0.500 0.273 0.755 Ni
0.500 0.773 0.745 Ni
0.500 0.493 0.857 Ni
```

## Properties
Total DFT energy (no corrections) (Ry per atom): -0.4041
Fermi-level density of states (states/eV per cell): 12.11



No. 2
The following is a PBEsol calculation of a relaxed SiRu2Se crystal, from the Alexandria database.

```
SiRu2Se
1.0
-1.224 -1.374 -2.226
3.588 -1.360 -1.134
-0.632 -4.036 2.840
Ru Si Se
2 1 1
Direct
0.000 0.000 0.000 Ru
0.500 0.000 0.500 Ru
0.000 0.500 0.500 Si
0.500 0.500 0.000 Se
```

## Properties
Raw formation energy (meV per atom): 221
Total DFT energy (no corrections) (Ry per atom): -0.5339
Distance to the lowest polymorph of the same formula (eV/atom): 0.384
Fermi-level density of states (states/eV per cell): 3.27



No. 3
The following is a PBEsol calculation of a relaxed Mg2ZrRe crystal, from the Alexandria database.

```
Mg2ZrRe
1.0
-0.957 -2.965 -1.233
2.973 -0.331 -1.510
2.537 -3.187 5.697
Mg Re Zr
2 1 1
Direct
0.000 0.000 0.008 Mg
0.500 0.500 0.280 Mg
0.000 0.000 0.513 Re
0.500 0.500 0.699 Zr
```

## Properties
Total DFT energy (no corrections) (Ry per atom): -0.4661
Distance to the lowest polymorph of the same formula (eV/atom): 0.000
Fermi-level density of states (states/eV per cell): 3.14